Entry 1:
The following is a SCAN calculation of CSe2BrF at its PBEsol-relaxed geometry, from Alexandria.

* E_form (uncorrected): 1.074 eV per atom
* volume: 83 Å³ per cell
* DFT total energy: -13.58 eV/atom
* total magnetization: 0.0 μB per cell
* space-group type: No. 123

Unit cell a=4.2867 b=4.2867 c=4.5359 alpha=90.00 beta=90.00 gamma=90.00
Closest atoms and distances in Å follow each position.
Atoms (fractional coordinates):
Br1 0.0000 0.0000 0.5000  2 C 2.27
Se1 0.5000 0.0000 0.0000  2 C 2.14
Se2 0.0000 0.5000 0.0000  2 C 2.14
C1 0.0000 0.0000 0.0000  4 Se 2.14, 2 Br 2.27
F1 0.5000 0.5000 0.5000  4 Br 3.03, 8 Se 3.12

---

Entry 2:
The following is a SCAN calculation of FeC2Br at its PBEsol-relaxed geometry, from Alexandria.

* E_form (uncorrected): 1.557 eV per atom
* volume: 110 Å³ per cell
* DFT total energy: -12.89 eV/atom
* total magnetization: 0.0 μB per cell
* space-group type: No. 122

Unit cell a=5.0029 b=5.6424 c=5.0029 alpha=63.68 beta=90.00 gamma=116.32
Closest atoms and distances in Å follow each position.
Atoms (fractional coordinates):
C1 0.8750 0.2500 0.4921  2 Fe 1.77
C2 0.3750 0.2500 0.2579  2 Fe 1.77
C3 0.2579 0.7500 0.8750  2 Fe 1.77
C4 0.4921 0.7500 0.3750  2 Fe 1.77
Br1 0.0000 0.0000 0.0000  4 C 2.54
Br2 0.7500 0.5000 0.7500  4 C 2.54
Fe1 0.2500 0.5000 0.2500  4 C 1.77
Fe2 0.5000 0.0000 0.5000  4 C 1.77

---

Entry 3:
The following is a SCAN calculation of FePH12C4Br4 at its PBEsol-relaxed geometry, from Alexandria.

* volume: 336 Å³ per cell
* DFT total energy: -8.96 eV/atom
* total magnetization: 5.0 μB per cell
* space-group type: No. 216

Unit cell a=7.7998 b=7.7998 c=7.7998 alpha=60.00 beta=60.00 gamma=60.00
Closest atoms and distances in Å follow each position.
Atoms (fractional coordinates):
P1 0.2500 0.2500 0.2500  4 C 1.79
H1 0.2852 0.5166 0.9130  1 C 1.10
H2 0.2852 0.9130 0.2852  1 C 1.10
H3 0.9130 0.5166 0.2852  1 C 1.10
H4 0.5166 0.2852 0.9130  1 C 1.10
H5 0.5166 0.9130 0.2852  1 C 1.10
H6 0.2852 0.9130 0.5166  1 C 1.10
H7 0.5166 0.2852 0.2852  1 C 1.10
H8 0.2852 0.2852 0.5166  1 C 1.10
H9 0.9130 0.2852 0.5166  1 C 1.10
H10 0.2852 0.5166 0.2852  1 C 1.10
H11 0.9130 0.2852 0.2852  1 C 1.10
H12 0.2852 0.2852 0.9130  1 C 1.10
Br1 0.8720 0.8720 0.3841  1 Fe 2.33
Br2 0.8720 0.8720 0.8720  1 Fe 2.33
Br3 0.3841 0.8720 0.8720  1 Fe 2.33
Br4 0.8720 0.3841 0.8720  1 Fe 2.33
Fe1 0.7500 0.7500 0.7500  4 Br 2.33
C1 0.9697 0.3434 0.3434  3 H 1.10
C2 0.3434 0.9697 0.3434  3 H 1.10
C3 0.3434 0.3434 0.9697  3 H 1.10
C4 0.3434 0.3434 0.3434  3 H 1.10

---

Entry 4:
The following is a SCAN calculation of Fe2ReCBr at its PBEsol-relaxed geometry, from Alexandria.

* E_form (uncorrected): 2.699 eV per atom
* volume: 70 Å³ per cell
* DFT total energy: -24.68 eV/atom
* total magnetization: 5.0 μB per cell
* space-group type: No. 123

Unit cell a=3.8152 b=4.2875 c=4.2875 alpha=90.00 beta=90.00 gamma=90.00
Closest atoms and distances in Å follow each position.
Atoms (fractional coordinates):
Fe1 0.0000 0.0000 0.5000  2 Br 2.14
Fe2 0.0000 0.5000 0.0000  2 Br 2.14
Re1 0.5000 0.5000 0.5000  8 Fe 2.87, 4 C 3.03
C1 0.5000 0.0000 0.0000  2 Br 1.91
Br1 0.0000 0.0000 0.0000  2 C 1.91

---

Entry 5:
The following is a SCAN calculation of GaCBr2 at its PBEsol-relaxed geometry, from Alexandria.

* E_form (uncorrected): 1.330 eV per atom
* volume: 101 Å³ per cell
* DFT total energy: -15.01 eV/atom
* relative energy among the computed polymorphs: 0.000 eV per atom
* total magnetization: 1.3 μB per cell
* space-group type: No. 166

Unit cell a=3.7806 b=3.7806 c=8.4629 alpha=77.09 beta=77.09 gamma=60.00
Closest atoms and distances in Å follow each position.
Atoms (fractional coordinates):
Br1 0.9104 0.9104 0.2688  1 C 2.20
Br2 0.0896 0.0896 0.7312  1 C 2.20
C1 0.0000 0.0000 0.0000  2 Br 2.20
Ga1 0.5000 0.5000 0.5000  6 Br 2.89

---

Entry 6:
The following is a SCAN calculation of GaC2Br at its PBEsol-relaxed geometry, from Alexandria.

* E_form (uncorrected): 1.972 eV per atom
* volume: 119 Å³ per cell
* DFT total energy: -12.03 eV/atom
* total magnetization: 0.0 μB per cell
* space-group type: No. 122

Unit cell a=4.8660 b=4.8660 c=6.1071 alpha=113.48 beta=113.48 gamma=90.00
Closest atoms and distances in Å follow each position.
Atoms (fractional coordinates):
Ga1 0.7500 0.2500 0.5000  4 C 2.00
Ga2 0.5000 0.5000 0.0000  4 C 2.00
C1 0.4264 0.8750 0.2500  2 Ga 2.00
C2 0.1250 0.1764 0.7500  2 Ga 2.00
C3 0.6250 0.5736 0.7500  2 Ga 2.00
C4 0.8236 0.3750 0.2500  2 Ga 2.00
Br1 0.2500 0.7500 0.5000  4 C 2.29
Br2 0.0000 0.0000 0.0000  4 C 2.29

---

Entry 7:
The following is a SCAN calculation of GaCBr2 at its PBEsol-relaxed geometry, from Alexandria.

* E_form (uncorrected): 1.570 eV per atom
* volume: 77 Å³ per cell
* DFT total energy: -14.77 eV/atom
* relative energy among the computed polymorphs: 0.240 eV per atom
* total magnetization: 1.0 μB per cell
* space-group type: No. 225

Unit cell a=4.7800 b=4.7800 c=4.7800 alpha=60.00 beta=60.00 gamma=60.00
Closest atoms and distances in Å follow each position.
Atoms (fractional coordinates):
Br1 0.7500 0.7500 0.7500  4 Ga 2.93, 4 C 2.93
Br2 0.2500 0.2500 0.2500  4 C 2.93, 4 Ga 2.93
C1 0.0000 0.0000 0.0000  8 Br 2.93
Ga1 0.5000 0.5000 0.5000  8 Br 2.93

---

Entry 8:
The following is a SCAN calculation of Ga2MoCBr at its PBEsol-relaxed geometry, from Alexandria.

* E_form (uncorrected): 1.684 eV per atom
* volume: 118 Å³ per cell
* DFT total energy: -17.74 eV/atom
* total magnetization: 2.5 μB per cell
* space-group type: No. 123

Unit cell a=4.7046 b=5.0006 c=5.0006 alpha=90.00 beta=90.00 gamma=90.00
Closest atoms and distances in Å follow each position.
Atoms (fractional coordinates):
C1 0.5000 0.5000 0.5000  8 Ga 3.43, 4 Br 3.54
Br1 0.5000 0.0000 0.0000  2 Mo 2.35
Ga1 0.0000 0.0000 0.5000  2 Mo 2.50
Ga2 0.0000 0.5000 0.0000  2 Mo 2.50
Mo1 0.0000 0.0000 0.0000  2 Br 2.35, 4 Ga 2.50

---

Entry 9:
The following is a SCAN calculation of GaCSe2Br at its PBEsol-relaxed geometry, from Alexandria.

* E_form (uncorrected): 1.552 eV per atom
* volume: 120 Å³ per cell
* DFT total energy: -15.66 eV/atom
* total magnetization: 0.1 μB per cell
* space-group type: No. 123

Unit cell a=4.9187 b=4.9187 c=4.9491 alpha=90.00 beta=90.00 gamma=90.00
Closest atoms and distances in Å follow each position.
Atoms (fractional coordinates):
Se1 0.5000 0.0000 0.0000  2 Ga 2.46
Se2 0.0000 0.5000 0.0000  2 Ga 2.46
Br1 0.0000 0.0000 0.5000  2 Ga 2.47
Ga1 0.0000 0.0000 0.0000  4 Se 2.46, 2 Br 2.47
C1 0.5000 0.5000 0.5000  4 Br 3.48, 8 Se 3.49

---

Entry 10:
The following is a SCAN calculation of Ge3CBr at its PBEsol-relaxed geometry, from Alexandria.

* E_form (uncorrected): 2.433 eV per atom
* volume: 129 Å³ per cell
* DFT total energy: -14.93 eV/atom
* total magnetization: 0.6 μB per cell
* space-group type: No. 221

Unit cell a=5.0496 b=5.0496 c=5.0496 alpha=90.00 beta=90.00 gamma=90.00
Closest atoms and distances in Å follow each position.
Atoms (fractional coordinates):
Ge1 0.0000 0.5000 0.0000  2 Br 2.52
Ge2 0.5000 0.0000 0.0000  2 Br 2.52
Ge3 0.0000 0.0000 0.5000  2 Br 2.52
C1 0.5000 0.5000 0.5000  12 Ge 3.57
Br1 0.0000 0.0000 0.0000  6 Ge 2.52

---

Entry 11:
The following is a SCAN calculation of GeOsCBr2 at its PBEsol-relaxed geometry, from Alexandria.

* E_form (uncorrected): 1.024 eV per atom
* volume: 102 Å³ per cell
* DFT total energy: -26.97 eV/atom
* total magnetization: 0.0 μB per cell
* space-group type: No. 123

Unit cell a=3.7916 b=5.1754 c=5.1754 alpha=90.00 beta=90.00 gamma=90.00
Closest atoms and distances in Å follow each position.
Atoms (fractional coordinates):
Ge1 0.5000 0.5000 0.5000  8 Br 3.21
Br1 0.0000 0.5000 0.0000  2 Os 2.59
Br2 0.0000 0.0000 0.5000  2 Os 2.59
Os1 0.0000 0.0000 0.0000  2 C 1.90
C1 0.5000 0.0000 0.0000  2 Os 1.90

---

Entry 12:
The following is a SCAN calculation of HgH10C3Br3N at its PBEsol-relaxed geometry, from Alexandria.

* volume: 1030 Å³ per cell
* DFT total energy: -11.47 eV/atom
* total magnetization: 0.0 μB per cell
* space-group type: No. 14

Unit cell a=8.1982 b=8.6659 c=14.5347 alpha=90.00 beta=90.00 gamma=93.81
Closest atoms and distances in Å follow each position.
Atoms (fractional coordinates):
H1 0.0887 0.4137 0.1107  1 C 1.10
H2 0.3628 0.3806 0.1626  1 C 1.10
H3 0.8294 0.8708 0.0653  1 C 1.10
H4 0.5367 0.2084 0.3809  1 C 1.10
H5 0.8149 0.1749 0.3262  1 C 1.10
H6 0.0367 0.2084 0.1191  1 C 1.10
H7 0.7956 0.3595 0.4979  1 N 1.05
H8 0.9920 0.6910 0.9880  1 C 1.10
H9 0.7044 0.6405 0.9979  1 N 1.05
H10 0.4865 0.2470 0.1043  1 C 1.10
H11 0.1851 0.8251 0.6738  1 C 1.10
H12 0.6201 0.8885 0.0317  1 C 1.10
H13 0.0135 0.7530 0.6043  1 C 1.10
H14 0.5080 0.3090 0.4880  1 C 1.10
H15 0.3294 0.8708 0.4347  1 C 1.10
H16 0.2840 0.9730 0.5393  1 C 1.10
H17 0.2160 0.0270 0.0393  1 C 1.10
H18 0.4113 0.5863 0.6107  1 C 1.10
H19 0.1372 0.6194 0.6626  1 C 1.10
H20 0.8799 0.1115 0.5317  1 C 1.10
H21 0.0080 0.3090 0.0120  1 C 1.10
H22 0.5887 0.4137 0.3893  1 C 1.10
H23 0.1201 0.8885 0.4683  1 C 1.10
H24 0.7160 0.0270 0.4607  1 C 1.10
H25 0.4920 0.6910 0.5120  1 C 1.10
H26 0.2956 0.3595 0.0021  1 N 1.05
H27 0.9633 0.7916 0.8809  1 C 1.10
H28 0.9865 0.2470 0.3957  1 C 1.10
H29 0.8628 0.3806 0.3374  1 C 1.10
H30 0.2044 0.6405 0.5021  1 N 1.05
H31 0.3149 0.1749 0.1738  1 C 1.10
H32 0.1706 0.1292 0.9347  1 C 1.10
H33 0.7840 0.9730 0.9607  1 C 1.10
H34 0.9113 0.5863 0.8893  1 C 1.10
H35 0.6372 0.6194 0.8374  1 C 1.10
H36 0.5135 0.7530 0.8957  1 C 1.10
H37 0.3799 0.1115 0.9683  1 C 1.10
H38 0.6706 0.1292 0.5653  1 C 1.10
H39 0.6851 0.8251 0.8262  1 C 1.10
H40 0.4633 0.7916 0.6191  1 C 1.10
N1 0.7469 0.7300 0.9537  1 H 1.05
N2 0.7531 0.2700 0.4537  1 H 1.05
N3 0.2531 0.2700 0.0463  1 H 1.05
N4 0.2469 0.7300 0.5463  1 H 1.05
Br1 0.4450 0.0608 0.7334  2 Hg 2.74-2.76, 2 H 2.88-2.98
Br2 0.0550 0.9392 0.2334  2 Hg 2.74-2.76, 2 H 2.88-2.98
Br3 0.9450 0.0608 0.7666  2 Hg 2.74-2.76, 2 H 2.88-2.98
Br4 0.7559 0.5331 0.1553  1 H 2.52, 1 Hg 2.55
Br5 0.6780 0.3196 0.9532  1 Hg 2.56, 3 H 2.75-2.85
Br6 0.2559 0.5331 0.3447  1 H 2.52, 1 Hg 2.55
Br7 0.5550 0.9392 0.2666  2 Hg 2.74-2.76, 2 H 2.88-2.98
Br8 0.2441 0.4669 0.8447  1 H 2.52, 1 Hg 2.55
Br9 0.8220 0.6804 0.4532  1 Hg 2.56, 3 H 2.75-2.85
Br10 0.1780 0.3196 0.5468  1 Hg 2.56, 3 H 2.75-2.85
Br11 0.7441 0.4669 0.6553  1 H 2.52, 1 Hg 2.55
Br12 0.3220 0.6804 0.0468  1 Hg 2.56, 3 H 2.75-2.85
Hg1 0.7987 0.7364 0.2811  4 Br 2.55-2.76
Hg2 0.7013 0.2636 0.7811  4 Br 2.55-2.76
Hg3 0.2987 0.7364 0.2189  4 Br 2.55-2.76
Hg4 0.2013 0.2636 0.7189  4 Br 2.55-2.76
C1 0.5847 0.3027 0.4262  3 H 1.10
C2 0.7452 0.8763 0.0066  3 H 1.10
C3 0.7548 0.1237 0.5066  3 H 1.10
C4 0.0847 0.3027 0.0738  3 H 1.10
C5 0.8623 0.2681 0.3725  3 H 1.10
C6 0.6377 0.7319 0.8725  3 H 1.10
C7 0.1377 0.7319 0.6275  3 H 1.10
C8 0.2548 0.1237 0.9934  3 H 1.10
C9 0.4153 0.6973 0.5738  3 H 1.10
C10 0.9153 0.6973 0.9262  3 H 1.10
C11 0.2452 0.8763 0.4934  3 H 1.10
C12 0.3623 0.2681 0.1275  3 H 1.10